DFT (GGA+U) results for a geometry-optimized BeCoSO structure.

a = 3.8149 Å, b = 3.8149 Å, c = 7.2304 Å
α = 90.00°, β = 90.00°, γ = 90.00°
With the nearest neighbours (Å) after each atom.
Space group P4/nmm (No. 129, origin choice 2)
Unique sites:
Be 0.2500 0.2500 0.1348 [2 per cell]  1 O 1.43
Co 0.2500 0.2500 0.6898 [2 per cell]  1 O 1.78
S 0.2500 0.7500 0.5000 [2 per cell]  4 Co 2.35
O 0.2500 0.2500 0.9363 [2 per cell]  1 Be 1.43

Output
total magnetic moment	0.479	μB/atom
final energy	-4.67	eV/atom